# 1
# PBE BaHClO, optimized geometry
# Crystal system: trigonal
# Fermi-level density of states (states/eV/f.u.): 0.00
# VASP energy (Ha/atom): -0.18747
data_BaHClO
_space_group_name_H-M_alt 'P 3 m 1'
_space_group_IT_number 156
_cell_length_a 4.4615
_cell_length_b 4.4615
_cell_length_c 5.0697
_cell_angle_alpha 90.00
_cell_angle_beta 90.00
_cell_angle_gamma 120.00
loop_
_space_group_symop_operation_xyz
'x,y,z'
'-y,x-y,z'
'-x+y,-x,z'
'-y,-x,z'
'-x+y,y,z'
'x,x-y,z'
loop_
_atom_site_label
_atom_site_type_symbol
_atom_site_fract_x
_atom_site_fract_y
_atom_site_fract_z
Ba1 Ba 0.0000 0.0000 0.0000
H1 H 0.3333 0.6667 0.3163
Cl1 Cl 0.6667 0.3333 0.5979
O1 O 0.3333 0.6667 0.1235


# 2
# PBE BaH5ClO3, optimized geometry
# Crystal system: tetragonal
# Fermi-level density of states (states/eV/f.u.): 0.00
# VASP energy (Ha/atom): -0.18501
data_BaH5ClO3
_space_group_name_H-M_alt 'P 4/n m m'
_space_group_IT_number 129
_cell_length_a 4.5735
_cell_length_b 4.5735
_cell_length_c 12.0941
_cell_angle_alpha 90.00
_cell_angle_beta 90.00
_cell_angle_gamma 90.00
loop_
_space_group_symop_operation_xyz
'x,y,z'
'-x,-y,-z'
'-y+1/2,x,z'
'y+1/2,-x,-z'
'-x+1/2,-y+1/2,z'
'x+1/2,y+1/2,-z'
'y,-x+1/2,z'
'-y,x+1/2,-z'
'x+1/2,-y,-z'
'-x+1/2,y,z'
'-y,-x,-z'
'y,x,z'
'-x,y+1/2,-z'
'x,-y+1/2,z'
'y+1/2,x+1/2,-z'
'-y+1/2,-x+1/2,z'
loop_
_atom_site_label
_atom_site_type_symbol
_atom_site_fract_x
_atom_site_fract_y
_atom_site_fract_z
Ba1 Ba 0.2500 0.2500 0.1742
H1 H 0.0702 0.7500 0.3581
H2 H 0.2500 0.2500 0.5055
Cl1 Cl 0.2500 0.2500 0.9095
O1 O 0.2500 0.2500 0.5858
O2 O 0.2500 0.7500 0.3086


# 3
# PBE Ba4PHCl2, optimized geometry
# Crystal system: monoclinic
# Fermi-level density of states (states/eV/f.u.): 4.00
# VASP energy (Ha/atom): -0.14075
data_Ba4PHCl2
_space_group_name_H-M_alt 'P 1 2/m 1'
_space_group_IT_number 10
_cell_length_a 7.6923
_cell_length_b 4.5473
_cell_length_c 7.9108
_cell_angle_alpha 90.00
_cell_angle_beta 108.43
_cell_angle_gamma 90.00
loop_
_space_group_symop_operation_xyz
'x,y,z'
'-x,-y,-z'
'-x,y,-z'
'x,-y,z'
loop_
_atom_site_label
_atom_site_type_symbol
_atom_site_fract_x
_atom_site_fract_y
_atom_site_fract_z
Ba1 Ba 0.2474 0.0000 0.2237
Ba2 Ba 0.2512 0.5000 0.7634
P1 P 0.0000 0.5000 0.0000
H1 H 0.5000 0.0000 0.0000
Cl1 Cl 0.0000 0.0000 0.5000
Cl2 Cl 0.5000 0.5000 0.5000


# 4
# PBE Ba8P3HCl4, optimized geometry
# Crystal system: trigonal
# Fermi-level density of states (states/eV/f.u.): 7.01
# VASP energy (Ha/atom): -0.15202
data_Ba8P3HCl4
_space_group_name_H-M_alt 'R -3 m'
_space_group_IT_number 166
_space_group_name_Hall '-R 3 2"'
_cell_length_a 9.1791
_cell_length_b 9.1791
_cell_length_c 22.6049
_cell_angle_alpha 90.00
_cell_angle_beta 90.00
_cell_angle_gamma 120.00
loop_
_atom_site_label
_atom_site_type_symbol
_atom_site_fract_x
_atom_site_fract_y
_atom_site_fract_z
Ba1 Ba 0.0000 0.0000 0.2435
Ba2 Ba 0.0064 0.5032 0.7573
P1 P 0.0000 0.5000 0.5000
H1 H 0.0000 0.0000 0.5000
Cl1 Cl 0.0000 0.0000 0.0000
Cl2 Cl 0.0000 0.5000 0.0000


# 5
# PBE Ba8P3HCl3, optimized geometry
# Crystal system: trigonal
# Fermi-level density of states (states/eV/f.u.): 4.14
# VASP energy (Ha/atom): -0.14799
data_Ba8P3HCl3
_space_group_name_H-M_alt 'R -3 m'
_space_group_IT_number 166
_space_group_name_Hall '-R 3 2"'
_cell_length_a 9.2322
_cell_length_b 9.2322
_cell_length_c 22.6711
_cell_angle_alpha 90.00
_cell_angle_beta 90.00
_cell_angle_gamma 120.00
loop_
_atom_site_label
_atom_site_type_symbol
_atom_site_fract_x
_atom_site_fract_y
_atom_site_fract_z
Ba1 Ba 0.0000 0.0000 0.2436
Ba2 Ba 0.0132 0.5066 0.7560
P1 P 0.0000 0.5000 0.5000
H1 H 0.0000 0.0000 0.5000
Cl1 Cl 0.0000 0.5000 0.0000


# 6
# PBE Ba6P3H2Cl, optimized geometry
# Crystal system: monoclinic
# VASP energy (Ha/atom): -0.15028
data_Ba6P3H2Cl
_space_group_name_H-M_alt 'C 1 2/m 1'
_space_group_IT_number 12
_cell_length_a 19.8379
_cell_length_b 4.6277
_cell_length_c 9.0834
_cell_angle_alpha 90.00
_cell_angle_beta 101.61
_cell_angle_gamma 90.00
loop_
_space_group_symop_operation_xyz
'x,y,z'
'-x,-y,-z'
'-x,y,-z'
'x,-y,z'
'x+1/2,y+1/2,z'
'-x+1/2,-y+1/2,-z'
'-x+1/2,y+1/2,-z'
'x+1/2,-y+1/2,z'
loop_
_atom_site_label
_atom_site_type_symbol
_atom_site_fract_x
_atom_site_fract_y
_atom_site_fract_z
Ba1 Ba 0.0027 0.0000 0.2360
Ba2 Ba 0.1644 0.5000 0.0894
Ba3 Ba 0.1719 0.5000 0.5769
P1 P 0.0000 0.5000 0.0000
P2 P 0.1662 0.0000 0.3314
H1 H 0.1678 0.0000 0.8339
Cl1 Cl 0.0000 0.5000 0.5000


# 7
# PBE Ba2HPdCl, optimized geometry
# Crystal system: tetragonal
# Fermi-level density of states (states/eV/f.u.): 2.15
# VASP energy (Ha/atom): -0.13892
data_Ba2HPdCl
_space_group_name_H-M_alt 'P 4/m m m'
_space_group_IT_number 123
_space_group_name_Hall '-P 4 2'
_cell_length_a 5.7509
_cell_length_b 5.7509
_cell_length_c 3.7788
_cell_angle_alpha 90.00
_cell_angle_beta 90.00
_cell_angle_gamma 90.00
loop_
_atom_site_label
_atom_site_type_symbol
_atom_site_fract_x
_atom_site_fract_y
_atom_site_fract_z
Ba1 Ba 0.0000 0.5000 0.0000
H1 H 0.0000 0.0000 0.0000
Pd1 Pd 0.0000 0.0000 0.5000
Cl1 Cl 0.5000 0.5000 0.5000


# 8
# PBE BaH2PdCl8, optimized geometry
# Crystal system: triclinic
# VASP energy (Ha/atom): -0.12157
data_BaH2PdCl8
_space_group_name_H-M_alt 'P -1'
_space_group_IT_number 2
_cell_length_a 6.2335
_cell_length_b 7.4938
_cell_length_c 8.3512
_cell_angle_alpha 82.46
_cell_angle_beta 70.31
_cell_angle_gamma 78.18
loop_
_space_group_symop_operation_xyz
'x,y,z'
'-x,-y,-z'
loop_
_atom_site_label
_atom_site_type_symbol
_atom_site_fract_x
_atom_site_fract_y
_atom_site_fract_z
Ba1 Ba 0.0000 0.0000 0.0000
H1 H 0.3057 0.7287 0.6641
Pd1 Pd 0.5000 0.5000 0.0000
Cl1 Cl 0.1019 0.5944 0.1378
Cl2 Cl 0.2016 0.8937 0.6155
Cl3 Cl 0.4450 0.4863 0.7363
Cl4 Cl 0.4552 0.1912 0.0660


# 9
# PBE Ba6HPt2Cl3, optimized geometry
# Crystal system: monoclinic
# Fermi-level density of states (states/eV/f.u.): 8.55
# VASP energy (Ha/atom): -0.14639
data_Ba6HPt2Cl3
_space_group_name_H-M_alt 'C 1 2/m 1'
_space_group_IT_number 12
_cell_length_a 7.6787
_cell_length_b 13.3037
_cell_length_c 8.4852
_cell_angle_alpha 90.00
_cell_angle_beta 107.61
_cell_angle_gamma 90.00
loop_
_space_group_symop_operation_xyz
'x,y,z'
'-x,-y,-z'
'-x,y,-z'
'x,-y,z'
'x+1/2,y+1/2,z'
'-x+1/2,-y+1/2,-z'
'-x+1/2,y+1/2,-z'
'x+1/2,-y+1/2,z'
loop_
_atom_site_label
_atom_site_type_symbol
_atom_site_fract_x
_atom_site_fract_y
_atom_site_fract_z
Ba1 Ba 0.2385 0.1651 0.2200
Ba2 Ba 0.2432 0.5000 0.2198
H1 H 0.0000 0.0000 0.0000
Pt1 Pt 0.0000 0.3335 0.0000
Cl1 Cl 0.0000 0.1691 0.5000
Cl2 Cl 0.0000 0.5000 0.5000


# 10
# PBE Ba2HPtCl, optimized geometry
# Crystal system: tetragonal
# Fermi-level density of states (states/eV/f.u.): 1.83
# VASP energy (Ha/atom): -0.14890
data_Ba2HPtCl
_space_group_name_H-M_alt 'P 4/m m m'
_space_group_IT_number 123
_space_group_name_Hall '-P 4 2'
_cell_length_a 5.7316
_cell_length_b 5.7316
_cell_length_c 3.7679
_cell_angle_alpha 90.00
_cell_angle_beta 90.00
_cell_angle_gamma 90.00
loop_
_atom_site_label
_atom_site_type_symbol
_atom_site_fract_x
_atom_site_fract_y
_atom_site_fract_z
Ba1 Ba 0.0000 0.5000 0.0000
H1 H 0.0000 0.0000 0.0000
Pt1 Pt 0.0000 0.0000 0.5000
Cl1 Cl 0.5000 0.5000 0.5000


# 11
# PBE RbBaH2Cl, optimized geometry
# Crystal system: tetragonal
# Fermi-level density of states (states/eV/f.u.): 0.00
# VASP energy (Ha/atom): -0.11748
data_RbBaH2Cl
_space_group_name_H-M_alt 'P 4/m m m'
_space_group_IT_number 123
_space_group_name_Hall '-P 4 2'
_cell_length_a 5.1168
_cell_length_b 5.1168
_cell_length_c 6.1692
_cell_angle_alpha 90.00
_cell_angle_beta 90.00
_cell_angle_gamma 90.00
loop_
_atom_site_label
_atom_site_type_symbol
_atom_site_fract_x
_atom_site_fract_y
_atom_site_fract_z
Rb1 Rb 0.0000 0.0000 0.0000
Ba1 Ba 0.5000 0.5000 0.5000
H1 H 0.0000 0.5000 0.5000
Cl1 Cl 0.5000 0.5000 0.0000


# 12
# PBE RbBaHCl2, optimized geometry
# Crystal system: tetragonal
# Fermi-level density of states (states/eV/f.u.): 0.00
# VASP energy (Ha/atom): -0.13026
data_RbBaHCl2
_space_group_name_H-M_alt 'P 4/m m m'
_space_group_IT_number 123
_space_group_name_Hall '-P 4 2'
_cell_length_a 6.0854
_cell_length_b 6.0854
_cell_length_c 5.0524
_cell_angle_alpha 90.00
_cell_angle_beta 90.00
_cell_angle_gamma 90.00
loop_
_atom_site_label
_atom_site_type_symbol
_atom_site_fract_x
_atom_site_fract_y
_atom_site_fract_z
Rb1 Rb 0.0000 0.0000 0.0000
Ba1 Ba 0.5000 0.5000 0.5000
H1 H 0.5000 0.5000 0.0000
Cl1 Cl 0.0000 0.5000 0.5000